## ScZn4W (GGA-PBE)

Data for crystalline ScZn4W at its relaxed geometry.

a = 5.0701 Å, b = 5.0701 Å, c = 5.0701 Å
α = 60.00°, β = 60.00°, γ = 60.00°
Positions (direct):
Sc (0.0000, 0.0000, 0.0000)
Zn (0.3757, 0.3757, 0.3757)
Zn (0.3757, 0.3757, 0.8728)
Zn (0.3757, 0.8728, 0.3757)
Zn (0.8728, 0.3757, 0.3757)
W (0.7500, 0.7500, 0.7500)

E_tot	-24.4	eV/cell
total magnetization	1.411	Bohr magnetons per cell
calculated density	8.84	g cm⁻³

***

## ScZnW2 (GGA-PBE)

Data for crystalline ScZnW2 at its relaxed geometry.

a = 9.7502 Å, b = 9.7502 Å, c = 9.7502 Å
α = 16.90°, β = 16.90°, γ = 16.90°
Positions (direct):
Sc (0.0000, 0.0000, 0.0000)
Zn (0.2492, 0.2492, 0.2492)
W (0.5033, 0.5033, 0.5033)
W (0.7532, 0.7532, 0.7532)

E_tot	-32.2	eV/cell
total magnetization	0.000	Bohr magnetons per cell
calculated density	11.62	g cm⁻³